Compound: RbBaTlBr6
Source: the Alexandria database
Functional: GGA-PBE
Structure: relaxed

```
RbBaTlBr6
1.0
7.958 0.000 0.000
-3.979 6.892 0.000
0.000 0.000 6.876
Rb Ba Tl Br
1 1 1 6
direct
0.000 0.000 0.000
0.667 0.333 0.500
0.333 0.667 0.000
0.037 0.387 0.240
0.037 0.650 0.760
0.350 0.387 0.760
0.350 0.963 0.240
0.613 0.650 0.240
0.613 0.963 0.760
```

As for the total energy: -0.218 Ry per atom. Its uncorrected formation energy is -1.271 eV per atom.